1.
The following is a DFT calculation (PBE) of a relaxed structure of La2MgBeSe.

## Properties
E: -3.57 eV per atom
Calculated volume: 29.2 Å³ per atom
E_form (uncorrected): 163 meV/atom

The structure in POSCAR format:
```
La2MgBeSe
1.0
5.8081 0.0000 0.0000
0.0000 5.8081 0.0000
0.0000 0.0000 4.3304
La Mg Be Se
2 1 1 1
Direct
0.0000 0.5000 0.0000
0.5000 0.0000 0.0000
0.0000 0.0000 0.0000
0.0000 0.0000 0.5000
0.5000 0.5000 0.5000
```

=====

2.
The following is a DFT calculation (PBE) of a relaxed structure of LaMgBeSn2.

## Properties
E: -3.39 eV per atom
Calculated volume: 26.8 Å³ per atom

The structure in POSCAR format:
```
LaMgBeSn2
1.0
5.3399 0.0000 0.0000
0.0000 5.3399 0.0000
0.0000 0.0000 4.6954
La Mg Be Sn
1 1 1 2
Direct
0.0000 0.0000 0.0000
0.5000 0.5000 0.5000
0.5000 0.5000 0.0000
0.0000 0.5000 0.5000
0.5000 0.0000 0.5000
```

=====

3.
The following is a DFT calculation (PBE) of a relaxed structure of LaMgTi2Be.

## Properties
E: -3.48 eV per atom
Calculated volume: 25.2 Å³ per atom

The structure in POSCAR format:
```
LaMgTi2Be
1.0
4.7925 0.0000 0.0000
0.0000 4.7925 0.0000
0.0000 0.0000 5.4849
La Mg Ti Be
1 1 2 1
Direct
0.0000 0.0000 0.0000
0.0000 0.0000 0.5000
0.0000 0.5000 0.0000
0.5000 0.0000 0.0000
0.5000 0.5000 0.5000
```

=====

4.
The following is a DFT calculation (PBE) of a relaxed structure of La2MgBeTl.

## Properties
E: -3.07 eV per atom
Calculated volume: 34.1 Å³ per atom

The structure in POSCAR format:
```
La2MgBeTl
1.0
6.1790 0.0000 0.0000
0.0000 6.1790 0.0000
0.0000 0.0000 4.4625
La Mg Be Tl
2 1 1 1
Direct
0.0000 0.5000 0.0000
0.5000 0.0000 0.0000
0.0000 0.0000 0.5000
0.5000 0.5000 0.5000
0.5000 0.5000 0.0000
```